<one>
# BaSrP2S

A relaxed BaSrP2S crystal (PBE, Alexandria).

Calculated values
Density of states at the Fermi level ... 6.08 states/eV/f.u.
Symmetry ... P4/mmm
Magnetization ... 0.0 Bohr magnetons per cell

Cell lengths 5.4562, 5.4562, 5.5244 Å; angles 90.00, 90.00, 90.00 degrees
Element x y z (fractional)
Sr: 0.0000 0.0000 0.0000
S: 0.0000 0.0000 0.5000
Ba: 0.5000 0.5000 0.5000
P: 0.0000 0.5000 0.0000
P: 0.5000 0.0000 0.0000



<two>
# BaSrP2S

A relaxed BaSrP2S crystal (PBE, Alexandria).

Calculated values
Density of states at the Fermi level ... 5.30 states/eV/f.u.
Symmetry ... P4/mmm
Magnetization ... 0.1 Bohr magnetons per cell

Cell lengths 5.5170, 5.5170, 5.7166 Å; angles 90.00, 90.00, 90.00 degrees
Element x y z (fractional)
Sr: 0.5000 0.5000 0.5000
S: 0.0000 0.0000 0.5000
Ba: 0.0000 0.0000 0.0000
P: 0.0000 0.5000 0.0000
P: 0.5000 0.0000 0.0000



<one> is preferred energetically. Next in line: 0.306 eV/atom higher.



<one>
# BaTaPS2

A relaxed BaTaPS2 crystal (PBE, Alexandria).

Calculated values
Density of states at the Fermi level ... 2.16 states/eV/f.u.
Symmetry ... P4/mmm
Magnetization ... 0.0 Bohr magnetons per cell

Cell lengths 4.8970, 4.8970, 4.9256 Å; angles 90.00, 90.00, 90.00 degrees
Element x y z (fractional)
P: 0.0000 0.0000 0.5000
S: 0.0000 0.5000 0.0000
S: 0.5000 0.0000 0.0000
Ba: 0.5000 0.5000 0.5000
Ta: 0.0000 0.0000 0.0000



<two>
# BaTaPS2

A relaxed BaTaPS2 crystal (PBE, Alexandria).

Calculated values
Density of states at the Fermi level ... 15.90 states/eV/f.u.
Symmetry ... P4/mmm
Magnetization ... 0.0 Bohr magnetons per cell

Cell lengths 5.4266, 5.4869, 5.4266 Å; angles 90.00, 90.00, 90.00 degrees
Element x y z (fractional)
P: 0.0000 0.5000 0.0000
S: 0.0000 0.0000 0.5000
S: 0.5000 0.0000 0.0000
Ba: 0.0000 0.0000 0.0000
Ta: 0.5000 0.5000 0.5000



<one> is preferred energetically. Next in line: 2.872 eV/atom higher.



<one>
# BaTeP2S

A relaxed BaTeP2S crystal (PBE, Alexandria).

Calculated values
Density of states at the Fermi level ... 3.55 states/eV/f.u.
Symmetry ... P4/mmm
Magnetization ... 0.0 Bohr magnetons per cell

Cell lengths 5.1094, 5.1094, 5.3113 Å; angles 90.00, 90.00, 90.00 degrees
Element x y z (fractional)
P: 0.0000 0.5000 0.0000
P: 0.5000 0.0000 0.0000
S: 0.0000 0.0000 0.5000
Te: 0.0000 0.0000 0.0000
Ba: 0.5000 0.5000 0.5000



<two>
# BaTeP2S

A relaxed BaTeP2S crystal (PBE, Alexandria).

Calculated values
Density of states at the Fermi level ... 6.22 states/eV/f.u.
Symmetry ... P4/mmm
Magnetization ... 2.3 Bohr magnetons per cell

Cell lengths 6.2351, 6.2351, 5.6566 Å; angles 90.00, 90.00, 90.00 degrees
Element x y z (fractional)
P: 0.0000 0.5000 0.0000
P: 0.5000 0.0000 0.0000
S: 0.0000 0.0000 0.5000
Te: 0.5000 0.5000 0.5000
Ba: 0.0000 0.0000 0.0000



<one> is preferred energetically. Next in line: 1.241 eV/atom higher.



<one>
# BaTiPS2

A relaxed BaTiPS2 crystal (PBE, Alexandria).

Calculated values
Density of states at the Fermi level ... 6.75 states/eV/f.u.
Symmetry ... P4/mmm
Magnetization ... 0.1 Bohr magnetons per cell

Cell lengths 5.5674, 5.5674, 5.4475 Å; angles 90.00, 90.00, 90.00 degrees
Element x y z (fractional)
P: 0.0000 0.0000 0.5000
S: 0.0000 0.5000 0.0000
S: 0.5000 0.0000 0.0000
Ba: 0.0000 0.0000 0.0000
Ti: 0.5000 0.5000 0.5000



<two>
# BaTiPS2

A relaxed BaTiPS2 crystal (PBE, Alexandria).

Calculated values
Density of states at the Fermi level ... 2.14 states/eV/f.u.
Symmetry ... P4/mmm
Magnetization ... 0.0 Bohr magnetons per cell

Cell lengths 4.8644, 4.8644, 4.8330 Å; angles 90.00, 90.00, 90.00 degrees
Element x y z (fractional)
P: 0.0000 0.0000 0.5000
S: 0.0000 0.5000 0.0000
S: 0.5000 0.0000 0.0000
Ba: 0.5000 0.5000 0.5000
Ti: 0.0000 0.0000 0.0000



<two> is preferred energetically. Next in line: 2.249 eV/atom higher.



<one>
# BaTlP2S

A relaxed BaTlP2S crystal (PBE, Alexandria).

Calculated values
Density of states at the Fermi level ... 5.64 states/eV/f.u.
Symmetry ... P4/mmm
Magnetization ... 0.0 Bohr magnetons per cell

Cell lengths 5.1548, 5.1548, 5.3922 Å; angles 90.00, 90.00, 90.00 degrees
Element x y z (fractional)
S: 0.0000 0.0000 0.5000
P: 0.0000 0.5000 0.0000
P: 0.5000 0.0000 0.0000
Tl: 0.0000 0.0000 0.0000
Ba: 0.5000 0.5000 0.5000



<two>
# BaTlP2S

A relaxed BaTlP2S crystal (PBE, Alexandria).

Calculated values
Density of states at the Fermi level ... 4.86 states/eV/f.u.
Symmetry ... P4/mmm
Magnetization ... 4.1 Bohr magnetons per cell

Cell lengths 6.1247, 6.1247, 5.8244 Å; angles 90.00, 90.00, 90.00 degrees
Element x y z (fractional)
S: 0.0000 0.0000 0.5000
P: 0.0000 0.5000 0.0000
P: 0.5000 0.0000 0.0000
Tl: 0.5000 0.5000 0.5000
Ba: 0.0000 0.0000 0.0000



<one> is preferred energetically. Next in line: 0.607 eV/atom higher.



<one>
# BaVP2S

A relaxed BaVP2S crystal (PBE, Alexandria).

Calculated values
Density of states at the Fermi level ... 3.86 states/eV/f.u.
Symmetry ... P4/mmm
Magnetization ... 0.0 Bohr magnetons per cell

Cell lengths 4.5627, 4.5627, 5.2321 Å; angles 90.00, 90.00, 90.00 degrees
Element x y z (fractional)
P: 0.0000 0.5000 0.0000
P: 0.5000 0.0000 0.0000
S: 0.0000 0.0000 0.5000
Ba: 0.5000 0.5000 0.5000
V: 0.0000 0.0000 0.0000



<two>
# BaVP2S

A relaxed BaVP2S crystal (PBE, Alexandria).

Calculated values
Density of states at the Fermi level ... 6.30 states/eV/f.u.
Symmetry ... P4/mmm
Magnetization ... 1.8 Bohr magnetons per cell

Cell lengths 5.4702, 5.4702, 5.6407 Å; angles 90.00, 90.00, 90.00 degrees
Element x y z (fractional)
P: 0.0000 0.5000 0.0000
P: 0.5000 0.0000 0.0000
S: 0.0000 0.0000 0.5000
Ba: 0.0000 0.0000 0.0000
V: 0.5000 0.5000 0.5000



<one> is preferred energetically. Next in line: 2.160 eV/atom higher.